{"formula": "Li3Ni3IO8", "functional": "GGA+U", "state": "optimized geometry", "lattice_angstrom": [[-5.6914, 1.2706, 1.6965], [2.1088, -5.6769, 0.4554], [2.0595, 4.3137, 3.6785]], "species": ["Li", "Li", "Li", "Ni", "Ni", "Ni", "I", "O", "O", "O", "O", "O", "O", "O", "O"], "frac_coords": [[0.0000, 0.0000, 0.0000], [0.0000, 0.5000, 0.0000], [0.5000, 0.5000, 0.0000], [0.5000, 0.0000, 0.5000], [0.5000, 0.5000, 0.5000], [0.0000, 0.5000, 0.5000], [0.0000, 0.0000, 0.5000], [0.2616, 0.5232, 0.2850], [0.7384, 0.4768, 0.7150], [0.7769, 0.5537, 0.2760], [0.2231, 0.4463, 0.7240], [0.7769, 0.9988, 0.2760], [0.2231, 0.0012, 0.7240], [0.2219, 0.9988, 0.2760], [0.7781, 0.0012, 0.7240]], "e_tot_ev_per_atom": -4.83, "crystal_system": "trigonal", "total_magnetization_mub_per_fu": 6.00}